Entry 1:
First-principles (PBE) data for a geometry-optimized Ba2Zr2N structure, as listed in the Alexandria database.

Unit cell a=6.262 b=6.262 c=6.708 alpha=90.00 beta=90.00 gamma=90.00
Atoms (fractional coordinates):
Ba 0.180 0.680 0.500
Ba 0.680 0.820 0.500
Ba 0.820 0.320 0.500
Ba 0.320 0.180 0.500
Zr 0.322 0.822 0.000
Zr 0.822 0.678 0.000
Zr 0.678 0.178 0.000
Zr 0.178 0.322 0.000
N 0.000 0.000 0.000
N 0.500 0.500 0.000

Results
Crystal system: tetragonal
Density of states at the Fermi level (states/eV/f.u.): 4.3
Uncorrected formation energy (meV/atom): 146
E above lowest polymorph (eV/f.u.): 0.000
DFT total energy (eV/atom): -5.708

Entry 2:
First-principles (PBE) data for a geometry-optimized MgCoWS4 structure, as listed in the Alexandria database.

Unit cell a=7.253 b=7.151 c=7.151 alpha=56.64 beta=59.52 gamma=59.52
Atoms (fractional coordinates):
S 0.793 0.719 0.719
S 0.266 0.259 0.709
S 0.266 0.709 0.259
S 0.699 0.267 0.267
S 0.735 0.306 0.723
S 0.269 0.719 0.719
S 0.266 0.267 0.267
S 0.735 0.723 0.306
Co 0.488 0.496 0.496
Co 0.020 0.496 0.496
Mg 0.864 0.886 0.886
Mg 0.108 0.142 0.142
W 0.496 0.552 0.957
W 0.496 0.957 0.552

Results
Crystal system: orthorhombic
Density of states at the Fermi level (states/eV/f.u.): 2.4
Uncorrected formation energy (meV/atom): -580
DFT total energy (eV/atom): -6.032

Entry 3:
First-principles (PBE) data for a geometry-optimized CrHIrRu2 structure, as listed in the Alexandria database.

Unit cell a=3.830 b=3.830 c=3.835 alpha=90.00 beta=90.00 gamma=90.00
Atoms (fractional coordinates):
Ru 0.000 0.500 0.000
Ru 0.500 0.000 0.000
Ir 0.500 0.500 0.500
H 0.000 0.000 0.000
Cr 0.000 0.000 0.500

Results
Crystal system: tetragonal
Density of states at the Fermi level (states/eV/f.u.): 3.8
E above lowest polymorph (eV/f.u.): 0.000
DFT total energy (eV/atom): -8.094

Entry 4:
First-principles (PBE) data for a geometry-optimized BaZnAg2Sn structure, as listed in the Alexandria database.

Unit cell a=4.719 b=4.725 c=6.641 alpha=110.84 beta=110.81 gamma=90.00
Atoms (fractional coordinates):
Ba 0.441 0.441 0.883
Zn 0.823 0.823 0.646
Ag 0.701 0.201 0.403
Ag 0.054 0.054 0.109
Sn 0.192 0.692 0.384

Results
Crystal system: orthorhombic
Density of states at the Fermi level (states/eV/f.u.): 1.7
DFT total energy (eV/atom): -2.872
ΔH_f (0 K) (kJ/mol of formula units): -141

Entry 5:
First-principles (PBE) data for a geometry-optimized DyTm5Cu4 structure, as listed in the Alexandria database.

Unit cell a=3.422 b=3.422 c=18.841 alpha=90.00 beta=90.00 gamma=90.00
Atoms (fractional coordinates):
Dy 0.000 0.000 0.000
Tm 0.500 0.500 0.136
Tm 0.500 0.500 0.317
Tm 0.500 0.500 0.500
Tm 0.500 0.500 0.683
Tm 0.500 0.500 0.864
Cu 0.000 0.000 0.226
Cu 0.000 0.000 0.409
Cu 0.000 0.000 0.591
Cu 0.000 0.000 0.774

Results
Crystal system: tetragonal
Density of states at the Fermi level (states/eV/f.u.): 8.0
DFT total energy (eV/atom): -4.555
ΔH_f (0 K) (kJ/mol of formula units): -213

Entry 6:
First-principles (PBE) data for a geometry-optimized Y3Ho9Er2 structure, as listed in the Alexandria database.

Unit cell a=6.206 b=10.439 c=13.521 alpha=40.14 beta=54.67 gamma=55.65
Atoms (fractional coordinates):
Y 0.000 0.000 0.000
Y 0.623 0.350 0.273
Y 0.377 0.650 0.727
Ho 0.000 0.500 0.500
Ho 0.403 0.991 0.697
Ho 0.597 0.009 0.303
Ho 0.737 0.842 0.916
Ho 0.263 0.158 0.084
Ho 0.013 0.837 0.495
Ho 0.987 0.163 0.505
Ho 0.810 0.488 0.899
Ho 0.190 0.512 0.101
Er 0.415 0.334 0.699
Er 0.585 0.666 0.301

Results
Crystal system: triclinic
Density of states at the Fermi level (states/eV/f.u.): 22.3
DFT total energy (eV/atom): -4.861
ΔH_f (0 K) (kJ/mol of formula units): 161

Question: Among the records above, which one has the lowest density of states at the Fermi level?
Answer: BaZnAg2Sn